CeErNp2P4 PBE optimized geometry; SG = P2/m (10); calculated volume = 180.2 Å³/cell; DOS at the Fermi energy = 2.592 states/eV per atom; calculated formation energy = -1.20 eV per atom
1.0
6.912 0.000 0.000
0.000 3.994 0.000
-2.309 0.000 6.527
Ce Er Np P
1 1 2 4
Cartesian
0.000 0.000 0.000 Ce
-1.154 1.997 3.263 Er
2.301 0.000 3.263 Np
3.456 1.997 0.000 Np
0.042 0.000 4.884 P
1.189 1.997 1.676 P
3.414 1.997 4.851 P
4.561 0.000 1.642 P

Ce2ErNpP4 PBE optimized geometry; SG = P2/m (10); calculated volume = 184.4 Å³/cell; DOS at the Fermi energy = 1.902 states/eV per atom; calculated formation energy = -1.37 eV per atom
1.0
6.964 0.000 0.000
0.000 4.028 0.000
-2.326 0.000 6.574
Ce Er Np P
2 1 1 4
Cartesian
0.000 0.000 0.000 Ce
-1.163 2.014 3.287 Ce
2.319 0.000 3.287 Er
3.482 2.014 0.000 Np
1.210 2.014 1.650 P
0.053 0.000 4.958 P
4.585 0.000 1.616 P
3.428 2.014 4.924 P

CeEr2NpP4 PBE optimized geometry; SG = P2/m (10); calculated volume = 180.2 Å³/cell; DOS at the Fermi energy = 1.605 states/eV per atom; calculated formation energy = -1.39 eV per atom
1.0
6.917 0.000 0.000
0.000 3.991 0.000
-2.309 0.000 6.526
Ce Er Np P
1 2 1 4
Cartesian
0.000 0.000 0.000 Ce
-1.154 1.996 3.263 Er
2.304 0.000 3.263 Er
3.458 1.996 0.000 Np
0.028 0.000 4.893 P
1.179 1.996 1.651 P
3.429 1.996 4.875 P
4.580 0.000 1.633 P

CeErNp2Se4 PBE optimized geometry; SG = P2/m (10); calculated volume = 196.4 Å³/cell; formation energy without anion corrections = -1427.1 meV/atom; DOS at the Fermi energy = 2.109 states/eV per atom
1.0
7.086 0.000 0.000
0.000 4.108 0.000
-2.373 0.000 6.746
Ce Er Np Se
1 1 2 4
Cartesian
0.000 0.000 0.000 Ce
-1.186 2.054 3.373 Er
2.357 0.000 3.373 Np
3.543 2.054 0.000 Np
-0.005 0.000 5.014 Se
1.187 2.054 1.738 Se
3.526 2.054 5.008 Se
4.718 0.000 1.732 Se

CeErO PBE optimized geometry; SG = P3m1 (156); calculated volume = 63.2 Å³/cell; formation energy without anion corrections = -1727.9 meV/atom; DOS at the Fermi energy = 1.610 states/eV per atom
1.0
3.507 0.000 0.000
-1.754 3.037 0.000
0.000 0.000 5.930
Ce Er O
1 1 1
Cartesian
0.000 0.000 0.000 Ce
0.000 2.025 2.751 Er
1.754 1.012 1.511 O

Ce2ErO PBE optimized geometry; SG = R-3m (166); calculated volume = 284.3 Å³/cell; formation energy without anion corrections = -1115.4 meV/atom; DOS at the Fermi energy = 2.219 states/eV per atom
1.0
3.426 0.000 0.000
-1.713 2.967 0.000
0.000 0.000 27.968
Ce Er O
6 3 3
Cartesian
0.000 0.000 3.196 Ce
0.000 0.000 24.772 Ce
0.000 1.978 15.449 Ce
0.000 1.978 21.841 Ce
1.713 0.989 6.127 Ce
1.713 0.989 12.518 Ce
0.000 0.000 0.000 Er
0.000 1.978 18.645 Er
1.713 0.989 9.323 Er
0.000 0.000 13.984 O
0.000 1.978 4.661 O
1.713 0.989 23.306 O

Ce6ErO12 PBE optimized geometry; SG = R-3 (148); calculated volume = 291.3 Å³/cell; formation energy without anion corrections = -3496.3 meV/atom; DOS at the Fermi energy = 1.266 states/eV per atom
1.0
5.137 2.966 3.186
-5.137 2.966 3.186
0.000 -5.932 3.186
Ce Er O
6 1 12
Cartesian
-3.566 -1.112 4.882 Ce
-0.820 -3.644 4.677 Ce
-2.746 2.533 4.677 Ce
2.746 -2.533 4.882 Ce
0.820 3.644 4.882 Ce
3.566 1.112 4.677 Ce
0.000 0.000 4.779 Er
-4.362 1.003 4.162 O
-3.050 -3.276 5.396 O
-1.275 -1.554 3.753 O
1.313 -4.279 4.162 O
-0.709 1.881 3.753 O
-1.984 0.327 5.806 O
1.984 -0.327 3.753 O
0.709 -1.881 5.806 O
-1.313 4.279 5.396 O
1.275 1.554 5.806 O
3.050 3.276 4.162 O
4.362 -1.003 5.396 O

CeEr2O PBE optimized geometry; SG = R-3m (166); calculated volume = 269.0 Å³/cell; offset from the most stable computed form = 0.0 meV/atom; formation energy without anion corrections = -1198.8 meV/atom; DOS at the Fermi energy = 1.285 states/eV per atom
1.0
3.343 0.000 0.000
-1.671 2.895 0.000
0.000 0.000 27.797
Ce Er O
3 6 3
Cartesian
0.000 0.000 0.000 Ce
0.000 1.930 18.532 Ce
1.671 0.965 9.266 Ce
0.000 0.000 3.265 Er
0.000 0.000 24.532 Er
0.000 1.930 15.267 Er
0.000 1.930 21.796 Er
1.671 0.965 6.001 Er
1.671 0.965 12.531 Er
0.000 0.000 13.899 O
0.000 1.930 4.633 O
1.671 0.965 23.164 O

CeEr2O PBE optimized geometry; SG = P4/mmm (123); calculated volume = 84.2 Å³/cell; offset from the most stable computed form = 374.1 meV/atom; formation energy without anion corrections = -824.7 meV/atom; DOS at the Fermi energy = 1.512 states/eV per atom
1.0
3.122 0.000 0.000
0.000 3.122 0.000
0.000 0.000 8.635
Ce Er O
1 2 1
Cartesian
0.000 0.000 0.000 Ce
1.561 1.561 2.781 Er
1.561 1.561 5.854 Er
0.000 0.000 4.318 O

Ce4ErO10 PBE optimized geometry; SG = R-3m (166); calculated volume = 202.0 Å³/cell; formation energy without anion corrections = -3310.9 meV/atom; DOS at the Fermi energy = 0.730 states/eV per atom
1.0
1.927 1.113 15.703
-1.927 1.113 15.703
0.000 -2.225 15.703
Ce Er O
4 1 10
Cartesian
0.000 0.000 4.749 Ce
0.000 0.000 14.122 Ce
0.000 0.000 32.986 Ce
0.000 0.000 42.359 Ce
0.000 0.000 23.554 Er
0.000 0.000 2.370 O
0.000 0.000 7.092 O
0.000 0.000 11.753 O
0.000 0.000 16.492 O
0.000 0.000 21.219 O
0.000 0.000 25.889 O
0.000 0.000 30.616 O
0.000 0.000 35.355 O
0.000 0.000 40.016 O
0.000 0.000 44.738 O

Ce3Er5O12 PBE optimized geometry; SG = Ia-3d (230); calculated volume = 1265.3 Å³/cell; formation energy without anion corrections = -3345.6 meV/atom; DOS at the Fermi energy = 0.947 states/eV per atom
1.0
-6.814 6.814 6.814
6.814 -6.814 6.814
6.814 6.814 -6.814
Ce Er O
12 20 48
Cartesian
3.407 1.703 0.000 Ce
6.814 3.407 -1.703 Ce
1.703 0.000 3.407 Ce
8.517 0.000 3.407 Ce
0.000 3.407 1.703 Ce
3.407 -1.703 6.814 Ce
3.407 8.517 0.000 Ce
6.814 3.407 5.110 Ce
-1.703 6.814 3.407 Ce
5.110 6.814 3.407 Ce
0.000 3.407 8.517 Ce
3.407 5.110 6.814 Ce
0.000 0.000 0.000 Er
3.407 3.407 -3.407 Er
3.407 -3.407 3.407 Er
6.814 0.000 0.000 Er
10.220 1.703 0.000 Er
6.814 -3.407 5.110 Er
5.110 6.814 -3.407 Er
5.110 0.000 3.407 Er
3.407 5.110 0.000 Er
6.814 3.407 1.703 Er
-3.407 3.407 3.407 Er
0.000 6.814 0.000 Er
0.000 0.000 6.814 Er
3.407 3.407 3.407 Er
0.000 3.407 5.110 Er
3.407 1.703 6.814 Er
1.703 6.814 3.407 Er
1.703 0.000 10.220 Er
0.000 10.220 1.703 Er
-3.407 5.110 6.814 Er
2.075 -0.311 0.837 O
8.146 4.244 -3.718 O
8.888 0.311 0.837 O
8.146 -2.570 3.718 O
6.503 -0.837 2.075 O
10.531 -1.332 2.570 O
0.837 2.075 -0.311 O
9.383 3.096 -1.332 O
4.244 3.718 -1.332 O
5.976 2.075 0.311 O
-0.311 0.837 2.075 O
3.718 -1.332 4.244 O
6.503 5.976 -2.075 O
3.718 1.332 2.570 O
4.244 -3.718 8.146 O
5.976 -2.075 6.503 O
2.570 3.718 1.332 O
7.651 4.739 0.311 O
3.718 8.146 -2.570 O
6.503 0.837 4.739 O
2.075 6.503 -0.837 O
8.146 2.570 3.096 O
1.332 2.570 3.718 O
2.075 0.311 5.976 O
4.739 6.503 0.837 O
5.481 4.244 3.096 O
-1.332 4.244 3.718 O
4.739 0.311 7.651 O
0.311 5.976 2.075 O
3.096 -1.332 9.383 O
-0.837 2.075 6.503 O
4.244 3.096 5.481 O
0.837 8.888 0.311 O
2.570 10.531 -1.332 O
3.096 5.481 4.244 O
0.311 0.837 8.888 O
3.096 8.146 2.570 O
7.124 5.976 4.739 O
0.837 4.739 6.503 O
2.570 3.096 8.146 O
-2.570 3.718 8.146 O
5.976 4.739 7.124 O
-3.718 8.146 4.244 O
0.311 7.651 4.739 O
-1.332 9.383 3.096 O
-2.075 6.503 5.976 O
-1.332 2.570 10.531 O
4.739 7.124 5.976 O

Ce4Er2Pb3O2 PBE optimized geometry; SG = I4/mmm (139); calculated volume = 291.2 Å³/cell; formation energy without anion corrections = -1253.2 meV/atom; DOS at the Fermi energy = 2.103 states/eV per atom
1.0
-2.366 2.366 13.005
2.366 -2.366 13.005
2.366 2.366 -13.005
Ce Er Pb O
4 2 3 2
Cartesian
2.366 0.000 2.244 Ce
2.366 0.000 10.761 Ce
0.000 2.366 2.244 Ce
0.000 2.366 10.761 Ce
0.000 0.000 5.087 Er
0.000 0.000 20.924 Er
0.000 0.000 8.261 Pb
0.000 0.000 13.005 Pb
0.000 0.000 17.749 Pb
0.000 0.000 2.797 O
0.000 0.000 23.213 O

Repeat the first record exactly.
CeErNp2P4 PBE optimized geometry; SG = P2/m (10); calculated volume = 180.2 Å³/cell; DOS at the Fermi energy = 2.592 states/eV per atom; calculated formation energy = -1.20 eV per atom
1.0
6.912 0.000 0.000
0.000 3.994 0.000
-2.309 0.000 6.527
Ce Er Np P
1 1 2 4
Cartesian
0.000 0.000 0.000 Ce
-1.154 1.997 3.263 Er
2.301 0.000 3.263 Np
3.456 1.997 0.000 Np
0.042 0.000 4.884 P
1.189 1.997 1.676 P
3.414 1.997 4.851 P
4.561 0.000 1.642 P

Number 1 is which compound?
CeErNp2P4

Which value of calculated volume does entry 12 give?
291.2 Å³/cell